The following is a PBE calculation of a relaxed Tb2Co3B12Os crystal, from the Alexandria database.

```
Tb2Co3B12Os
1.0
2.6823 1.5486 7.6911
-2.6823 1.5486 7.6911
0.0000 -3.0972 7.6911
Tb Co B Os
2 3 12 1
Cartesian
0.0000 0.0000 3.1950
0.0000 0.0000 19.8784
-1.3411 -0.7743 7.6911
-1.3411 0.7743 15.3823
0.0000 1.5486 7.6911
0.0000 -0.9887 6.1015
-0.8563 0.4944 6.1015
-1.0038 -0.5795 9.7452
0.0000 -1.1591 13.3282
-1.0038 0.5795 13.3282
0.8563 0.4944 6.1015
-0.8563 -0.4944 16.9719
1.0038 -0.5795 9.7452
0.0000 1.1591 9.7452
1.0038 0.5795 13.3282
0.8562 -0.4944 16.9719
0.0000 0.9887 16.9719
0.0000 0.0000 11.5367
```

Properties
- calculated formation energy (kJ per mole of atoms) = 5
- final energy (eV per atom) = -6.7253



The following is a PBE calculation of a relaxed LiHf2Np3N6 crystal, from the Alexandria database.

```
LiHf2Np3N6
1.0
7.2026 -1.6550 0.0000
7.2026 1.6550 0.0000
-1.5052 0.0000 6.4977
Li Hf Np N
1 2 3 6
Cartesian
0.0000 0.0000 0.0000
3.7782 0.0000 4.3256
9.1217 0.0000 2.1721
-0.7526 0.0000 3.2489
4.6539 0.0000 1.0417
8.2461 0.0000 5.4560
2.2577 0.0000 0.6430
1.5890 0.0000 3.7122
6.0077 0.0000 4.7575
6.8922 0.0000 1.7402
11.3110 0.0000 2.7855
10.6422 0.0000 5.8548
```

Properties
- E_form (uncorrected) (eV/atom) = -1.2680
- final energy (eV per atom) = -10.4843



The following is a PBE calculation of a relaxed MnTeS2 crystal, from the Alexandria database.

```
MnTeS2
1.0
1.7543 1.0128 7.9461
-1.7543 1.0128 7.9461
0.0000 -2.0257 7.9461
Mn Te S
1 1 2
Cartesian
0.0000 0.0000 0.0000
0.0000 0.0000 11.9191
0.0000 0.0000 9.2441
0.0000 0.0000 14.5941
```

Properties
- E_form (uncorrected) (eV/atom) = -0.2833
- final energy (eV per atom) = -5.4249



The following is a PBE calculation of a relaxed ZnTeSe2 crystal, from the Alexandria database.

```
ZnTeSe2
1.0
1.9316 1.1152 7.0932
-1.9316 1.1152 7.0932
0.0000 -2.2304 7.0932
Zn Te Se
1 1 2
Cartesian
0.0000 0.0000 0.0000
0.0000 0.0000 10.6398
0.0000 0.0000 5.6233
0.0000 0.0000 15.6563
```

Properties
- E_form (uncorrected) (eV/atom) = -0.0432
- ΔE to the lowest computed polymorph (eV per atom) = 0.081
- final energy (eV per atom) = -2.8894



The following is a PBE calculation of a relaxed TlZnAgSn crystal, from the Alexandria database.

```
TlZnAgSn
1.0
0.0000 3.5868 3.5868
3.5868 0.0000 3.5868
3.5868 3.5868 0.0000
Tl Zn Ag Sn
1 1 1 1
Cartesian
0.0000 0.0000 0.0000
1.7934 1.7934 1.7934
5.3801 5.3801 5.3801
3.5868 3.5868 3.5868
```

Properties
- calculated formation energy (kJ per mole of atoms) = 16
- final energy (eV per atom) = -2.4612



The following is a PBE calculation of a relaxed HfTcSe2N crystal, from the Alexandria database.

```
HfTcSe2N
1.0
5.0400 0.0000 0.0000
0.0000 5.0400 0.0000
0.0000 0.0000 3.6822
Hf Tc Se N
1 1 2 1
Cartesian
0.0000 0.0000 0.0000
2.5200 2.5200 1.8411
0.0000 2.5200 1.8411
2.5200 0.0000 1.8411
2.5200 2.5200 0.0000
```

Properties
- E_form (uncorrected) (eV/atom) = 0.1244
- ΔE to the lowest computed polymorph (eV per atom) = 0.000
- final energy (eV per atom) = -6.9984



The following is a PBE calculation of a relaxed TbNdInAu crystal, from the Alexandria database.

```
TbNdInAu
1.0
3.6672 0.0000 0.0000
0.0000 3.6672 0.0000
0.0000 0.0000 7.8621
Tb Nd In Au
1 1 1 1
Cartesian
0.0000 0.0000 0.0000
0.0000 0.0000 3.6418
1.8336 1.8336 5.7993
1.8336 1.8336 1.6067
```

Properties
- calculated formation energy (kJ per mole of atoms) = -63
- ΔE to the lowest computed polymorph (eV per atom) = 0.000
- final energy (eV per atom) = -4.5052



The following is a PBE calculation of a relaxed Zn3TeN crystal, from the Alexandria database.

```
Zn3TeN
1.0
4.3596 0.0000 0.0000
0.0000 4.3596 0.0000
0.0000 0.0000 4.3596
Zn Te N
3 1 1
Cartesian
0.0000 0.0000 2.1798
0.0000 2.1798 0.0000
2.1798 0.0000 0.0000
2.1798 2.1798 2.1798
0.0000 0.0000 0.0000
```

Properties
- E_form (uncorrected) (eV/atom) = 0.2186
- ΔE to the lowest computed polymorph (eV per atom) = 0.000
- final energy (eV per atom) = -2.8391



The following is a PBE calculation of a relaxed InW3Au crystal, from the Alexandria database.

```
InW3Au
1.0
4.8412 0.0000 0.0000
0.0000 4.8412 0.0000
0.0000 0.0000 4.8412
In W Au
1 3 1
Cartesian
0.0000 0.0000 0.0000
0.0000 0.0000 2.4206
0.0000 2.4206 0.0000
2.4206 0.0000 0.0000
2.4206 2.4206 2.4206
```

Properties
- calculated formation energy (kJ per mole of atoms) = 282
- ΔE to the lowest computed polymorph (eV per atom) = 0.434
- final energy (eV per atom) = -6.0535



The following is a PBE calculation of a relaxed Cr2Pd12Au5 crystal, from the Alexandria database.

```
Cr2Pd12Au5
1.0
6.8755 -4.6616 0.0000
6.8755 4.6616 0.0000
-1.0599 0.0000 4.8191
Cr Pd Au
2 12 5
Cartesian
6.8755 2.3404 0.0000
6.8755 -2.3404 0.0000
0.4418 0.0000 1.3654
3.3508 2.3399 3.8409
5.1188 2.3578 1.8038
7.5722 2.3578 3.0153
4.3974 0.0000 4.7192
9.3402 2.3399 0.9782
3.3508 -2.3399 3.8409
8.2936 0.0000 0.1000
5.1188 -2.3578 1.8038
7.5722 -2.3578 3.0153
9.3402 -2.3399 0.9782
12.2492 0.0000 3.4537
1.4606 0.0000 4.2121
3.4377 0.0000 2.1159
6.3455 0.0000 2.4096
9.2533 0.0000 2.7033
11.2304 0.0000 0.6070
```

Properties
- calculated formation energy (kJ per mole of atoms) = 2
- final energy (eV per atom) = -5.1330



The following is a PBE calculation of a relaxed Hg3RuN crystal, from the Alexandria database.

```
Hg3RuN
1.0
4.5608 0.0000 0.0000
0.0000 4.5608 0.0000
0.0000 0.0000 4.5608
Hg Ru N
3 1 1
Cartesian
0.0000 0.0000 2.2804
0.0000 2.2804 0.0000
2.2804 0.0000 0.0000
2.2804 2.2804 2.2804
0.0000 0.0000 0.0000
```

Properties
- E_form (uncorrected) (eV/atom) = 1.3778
- ΔE to the lowest computed polymorph (eV per atom) = 0.000
- final energy (eV per atom) = -2.3235



The following is a PBE calculation of a relaxed Na3Pu2PtSe6 crystal, from the Alexandria database.

```
Na3Pu2PtSe6
1.0
3.4895 -6.0475 0.0000
3.4895 6.0475 0.0000
-2.3110 0.0000 7.0595
Na Pu Pt Se
3 2 1 6
Cartesian
0.0000 0.0000 0.0000
3.4895 2.0151 0.0000
3.4895 -2.0151 0.0000
2.3340 4.0187 3.5297
2.3340 -4.0187 3.5297
2.3340 0.0000 3.5297
1.2372 1.8790 1.9320
0.2045 0.0000 5.0694
1.2372 -1.8790 1.9320
3.4308 1.8790 5.1275
4.4635 0.0000 1.9901
3.4308 -1.8790 5.1275
```

Properties
- E_form (uncorrected) (eV/atom) = -1.0628
- final energy (eV per atom) = -6.0269



The following is a PBE calculation of a relaxed NaPIrS2 crystal, from the Alexandria database.

```
NaPIrS2
1.0
4.6503 0.0000 0.0000
0.0000 4.6503 0.0000
0.0000 0.0000 4.6266
Na P Ir S
1 1 1 2
Cartesian
0.0000 0.0000 0.0000
0.0000 0.0000 2.3133
2.3252 2.3252 2.3133
0.0000 2.3252 0.0000
2.3252 0.0000 0.0000
```

Properties
- E_form (uncorrected) (eV/atom) = 1.7886
- ΔE to the lowest computed polymorph (eV per atom) = 1.640
- final energy (eV per atom) = -2.9804



The following is a PBE calculation of a relaxed TlGePd2 crystal, from the Alexandria database.

```
TlGePd2
1.0
2.0593 1.1889 5.3500
-2.0593 1.1889 5.3500
0.0000 -2.3779 5.3500
Tl Ge Pd
1 1 2
Cartesian
0.0000 0.0000 0.0000
0.0000 0.0000 13.1771
0.0000 0.0000 3.5157
0.0000 0.0000 7.0341
```

Properties
- calculated formation energy (kJ per mole of atoms) = -19
- final energy (eV per atom) = -4.5357



The following is a PBE calculation of a relaxed CrRuRh4 crystal, from the Alexandria database.

```
CrRuRh4
1.0
0.0000 3.5801 3.5801
3.5801 0.0000 3.5801
3.5801 3.5801 0.0000
Cr Ru Rh
1 1 4
Cartesian
0.0000 0.0000 0.0000
5.3701 5.3701 5.3701
2.6852 2.6852 2.6852
4.4750 4.4750 2.6852
4.4750 2.6852 4.4750
2.6852 4.4750 4.4750
```

Properties
- calculated formation energy (kJ per mole of atoms) = 42
- ΔE to the lowest computed polymorph (eV per atom) = 0.473
- final energy (eV per atom) = -7.6152



The following is a PBE calculation of a relaxed Ba12TlIn6 crystal, from the Alexandria database.

```
Ba12TlIn6
1.0
7.9200 4.5726 4.7447
-7.9200 4.5726 4.7447
0.0000 -9.1452 4.7447
Ba Tl In
12 1 6
Cartesian
-6.9488 1.6102 6.2609
-4.8688 -5.2127 7.9730
-2.0148 -2.5058 5.6143
2.0799 -6.8229 6.2610
-3.1775 0.4920 8.6197
-1.1627 2.9978 5.6143
1.1627 -2.9978 8.6197
3.1775 -0.4920 5.6143
-2.0799 6.8229 7.9730
2.0148 2.5059 8.6197
4.8688 5.2127 6.2609
6.9488 -1.6102 7.9730
0.0000 0.0000 0.0000
-3.7571 0.6826 4.9887
1.2874 -3.5951 4.9887
-2.4697 -2.9125 9.2453
2.4697 2.9125 4.9887
-1.2874 3.5951 9.2453
3.7571 -0.6826 9.2453
```

Properties
- calculated formation energy (kJ per mole of atoms) = -13
- final energy (eV per atom) = -2.3400



The following is a PBE calculation of a relaxed NdSiRh2 crystal, from the Alexandria database.

```
NdSiRh2
1.0
2.0615 1.1902 5.1079
-2.0615 1.1902 5.1079
0.0000 -2.3804 5.1079
Nd Si Rh
1 1 2
Cartesian
0.0000 0.0000 0.0000
0.0000 0.0000 7.6619
0.0000 0.0000 3.2225
0.0000 0.0000 12.1012
```

Properties
- E_form (uncorrected) (eV/atom) = -0.8286
- final energy (eV per atom) = -7.0521



The following is a PBE calculation of a relaxed AcSc2Co crystal, from the Alexandria database.

```
AcSc2Co
1.0
1.9288 1.1136 8.2056
-1.9288 1.1136 8.2056
0.0000 -2.2272 8.2056
Ac Sc Co
1 2 1
Cartesian
0.0000 0.0000 0.0000
0.0000 0.0000 5.2977
0.0000 0.0000 19.3190
0.0000 0.0000 12.3084
```

Properties
- calculated formation energy (kJ per mole of atoms) = -1
- ΔE to the lowest computed polymorph (eV per atom) = 0.024
- final energy (eV per atom) = -5.9754



The following is a PBE calculation of a relaxed La2NdSi crystal, from the Alexandria database.

```
La2NdSi
1.0
2.0522 1.1849 9.5420
-2.0522 1.1849 9.5420
0.0000 -2.3697 9.5420
La Nd Si
2 1 1
Cartesian
0.0000 0.0000 0.0000
0.0000 0.0000 5.9836
0.0000 0.0000 12.5703
0.0000 0.0000 17.2917
```

Properties
- E_form (uncorrected) (eV/atom) = -0.1546
- ΔE to the lowest computed polymorph (eV per atom) = 0.227
- final energy (eV per atom) = -5.1660



The following is a PBE calculation of a relaxed LiPm6S8 crystal, from the Alexandria database.

```
LiPm6S8
1.0
0.0000 5.6613 5.6613
5.6613 0.0000 5.6613
5.6613 5.6613 0.0000
Li Pm S
1 6 8
Cartesian
0.0000 0.0000 0.0000
2.8307 2.8307 0.0000
2.8307 0.0000 2.8307
5.6613 2.8307 2.8307
0.0000 2.8307 2.8307
2.8307 5.6613 2.8307
2.8307 2.8307 5.6613
5.6613 5.6613 2.7517
5.6613 2.7517 5.6613
8.5709 5.6613 5.6613
2.8307 2.8307 2.8307
8.4920 8.4920 8.4920
2.7517 5.6613 5.6613
5.6613 8.5709 5.6613
5.6613 5.6613 8.5709
```

Properties
- E_form (uncorrected) (eV/atom) = -1.9895
- final energy (eV per atom) = -6.2187



The following is a PBE calculation of a relaxed Tb2YMn crystal, from the Alexandria database.

```
Tb2YMn
1.0
3.5671 0.0000 0.0000
0.0000 3.5671 0.0000
0.0000 0.0000 8.6332
Tb Y Mn
2 1 1
Cartesian
0.0000 0.0000 1.7323
0.0000 0.0000 6.9009
1.7836 1.7836 4.3166
1.7836 1.7836 0.0000
```

Properties
- calculated formation energy (kJ per mole of atoms) = 12
- ΔE to the lowest computed polymorph (eV per atom) = 0.000
- final energy (eV per atom) = -6.0943



The following is a PBE calculation of a relaxed Zr3CuTc crystal, from the Alexandria database.

```
Zr3CuTc
1.0
5.0027 0.0000 0.0000
0.0000 5.0027 0.0000
0.0000 0.0000 5.0027
Zr Cu Tc
3 1 1
Cartesian
0.0000 0.0000 2.5014
0.0000 2.5014 0.0000
2.5014 0.0000 0.0000
2.5014 2.5014 2.5014
0.0000 0.0000 0.0000
```

Properties
- calculated formation energy (kJ per mole of atoms) = 65
- ΔE to the lowest computed polymorph (eV per atom) = 0.894
- final energy (eV per atom) = -7.3503



The following is a PBE calculation of a relaxed KGaC crystal, from the Alexandria database.

```
KGaC
1.0
6.1260 -2.2663 0.0000
6.1260 2.2663 0.0000
-2.9734 0.0000 5.3827
K Ga C
2 2 2
Cartesian
0.1809 0.0000 1.8720
9.0976 0.0000 3.5107
3.5165 0.0000 0.2367
5.7620 0.0000 5.1460
5.4938 0.0000 0.0218
3.7847 0.0000 5.3609
```

Properties
- calculated formation energy (kJ per mole of atoms) = 12
- final energy (eV per atom) = -4.3206



The following is a PBE calculation of a relaxed TmGe2Cl8 crystal, from the Alexandria database.

```
TmGe2Cl8
1.0
5.9966 -4.6041 0.0000
5.9966 4.6041 0.0000
-2.3349 0.0000 7.0267
Tm Ge Cl
1 2 8
Cartesian
0.0000 0.0000 0.0000
0.1650 0.0000 4.3785
9.4933 0.0000 2.6482
4.5211 2.8382 1.2959
1.5596 0.0000 2.0584
5.1372 2.8382 5.7308
2.1030 0.0000 5.4175
7.5553 0.0000 1.6092
4.5211 -2.8382 1.2959
8.0987 0.0000 4.9682
5.1372 -2.8382 5.7308
```

Properties
- E_form (uncorrected) (eV/atom) = -1.2187
- final energy (eV per atom) = -3.8078



The following is a PBE calculation of a relaxed Cr2InCuAs crystal, from the Alexandria database.

```
Cr2InCuAs
1.0
4.7626 0.0000 0.0000
0.0000 4.7626 0.0000
0.0000 0.0000 5.3240
Cr In Cu As
2 1 1 1
Cartesian
0.0000 2.3813 0.0000
2.3813 0.0000 0.0000
0.0000 0.0000 2.6620
2.3813 2.3813 2.6620
0.0000 0.0000 0.0000
```

Properties
- calculated formation energy (kJ per mole of atoms) = 88
- final energy (eV per atom) = -5.2362